## CrPtAu4 (PBE-GGA)

Data for a relaxed structure of CrPtAu4.

Cell: 5.412 5.412 5.412 Å, 60.00 60.00 60.00°
Fractional coordinates of all 6 atoms:
Cr 0.000 0.000 0.000
Pt 0.250 0.250 0.250
Au 0.125 0.625 0.625
Au 0.625 0.125 0.625
Au 0.625 0.625 0.125
Au 0.625 0.625 0.625

* Fermi-level density of states: 0.4455 states/eV/atom
* ρ: 15.33 g cm⁻³
* total DFT energy (no corrections): -27.0 eV/cell
* magnetization: 0.687 μB/atom

---

## CsRb3HgO (PBE-GGA)

Data for a relaxed structure of CsRb3HgO.

Cell: 13.308 13.308 7.211 Å, 92.45 92.45 145.91°
Fractional coordinates of all 12 atoms:
Cs 0.190 0.810 0.750
Cs 0.810 0.190 0.250
Rb 0.265 0.316 0.016
Rb 0.316 0.265 0.516
Rb 0.364 0.636 0.750
Rb 0.636 0.364 0.250
Rb 0.684 0.735 0.484
Rb 0.735 0.684 0.984
Hg 0.272 0.728 0.250
Hg 0.728 0.272 0.750
O 0.465 0.535 0.750
O 0.535 0.465 0.250

* Fermi-level density of states: 0.6217 states/eV/atom
* ρ: 2.84 g cm⁻³
* magnetization: 0.000 μB/atom
* uncorrected formation energy: -0.4940 eV per atom

---

## GdAs (PBE-GGA)

Data for a relaxed structure of GdAs.

Cell: 4.167 4.167 4.167 Å, 60.00 60.00 60.00°
Fractional coordinates of all 2 atoms:
Gd 0.000 0.000 0.000
As 0.500 0.500 0.500

* Fermi-level density of states: 0.0788 states/eV/atom
* ρ: 7.54 g cm⁻³
* total DFT energy (no corrections): -21.8 eV/cell
* magnetization: 3.494 μB/atom

---

## ZrMn3Si (PBE-GGA)

Data for a relaxed structure of ZrMn3Si.

Cell: 4.286 4.286 4.286 Å, 90.00 90.00 90.00°
Fractional coordinates of all 5 atoms:
Zr 0.000 0.000 0.000
Mn 0.000 0.500 0.500
Mn 0.500 0.000 0.500
Mn 0.500 0.500 0.000
Si 0.500 0.500 0.500

* energy above the most stable polymorph in this dataset: 0.0 meV per atom
* Fermi-level density of states: 0.6672 states/eV/atom
* ρ: 5.99 g cm⁻³
* magnetization: 1.006 μB/atom
* uncorrected formation energy: 0.3169 eV per atom

---

## LaY (PBE-GGA)

Data for a relaxed structure of LaY.

Cell: 4.640 4.640 4.640 Å, 60.00 60.00 60.00°
Fractional coordinates of all 2 atoms:
La 0.000 0.000 0.000
Y 0.250 0.250 0.250

* energy above the most stable polymorph in this dataset: 1620.3 meV per atom
* Fermi-level density of states: 1.6166 states/eV/atom
* ρ: 5.35 g cm⁻³
* magnetization: 0.000 μB/atom

---

## ZrZnNi (PBE-GGA)

Data for a relaxed structure of ZrZnNi.

Cell: 5.020 5.020 5.020 Å, 142.04 142.04 54.76°
Fractional coordinates of all 3 atoms:
Zr 0.000 0.000 0.000
Zn 0.689 0.689 0.000
Ni 0.325 0.325 0.000

* Fermi-level density of states: 0.7091 states/eV/atom
* ρ: 7.52 g cm⁻³
* total DFT energy (no corrections): -16.4 eV/cell
* magnetization: 0.000 μB/atom